Record 1
A plane-wave DFT calculation with PBEsol was carried out for a geometry-optimized EuInRh structure.

Values from the calculation:
**M_tot**: 2.291 μB/atom
**Crystal system**: orthorhombic
**Total energy**: -7.813 eV/atom

a = 7.237 Å, b = 4.248 Å, c = 8.430 Å
α = 90.00°, β = 90.00°, γ = 90.00°
Space group Pnma (No. 62)
Inequivalent atoms, fractional coordinates:
1 Eu 0.030 0.250 0.177
2 In 0.145 0.250 0.562
3 Rh 0.232 0.750 0.370

Record 2
A plane-wave DFT calculation with PBEsol was carried out for a geometry-optimized EuIn2Rh structure.

Values from the calculation:
**M_tot**: 1.719 μB/atom
**Crystal system**: orthorhombic
**Total energy**: -6.748 eV/atom

a = 4.311 Å, b = 10.210 Å, c = 7.964 Å
α = 90.00°, β = 90.00°, γ = 90.00°
Space group Cmcm (No. 63)
Inequivalent atoms, fractional coordinates:
1 Eu 0.000 0.065 0.250
2 In 0.000 0.353 0.051
3 Rh 0.000 0.216 0.750

Record 3
A plane-wave DFT calculation with PBEsol was carried out for a geometry-optimized EuIn2Se4 structure.

Values from the calculation:
**M_tot**: 0.993 μB/atom
**Crystal system**: orthorhombic
**E_form (uncorrected)**: -0.953 eV per atom

a = 6.760 Å, b = 10.524 Å, c = 10.726 Å
α = 90.00°, β = 90.00°, γ = 90.00°
Space group Cccm (No. 66)
Inequivalent atoms, fractional coordinates:
1 Eu 0.000 0.000 0.250
2 In 0.005 0.278 0.000
3 Se 0.213 0.064 0.500
4 Se 0.250 0.250 0.187

Record 4
A plane-wave DFT calculation with PBEsol was carried out for a geometry-optimized Eu4Ir structure.

Values from the calculation:
**M_tot**: 5.777 μB/atom
**Crystal system**: tetragonal
**Total energy**: -10.691 eV/atom

a = 8.927 Å, b = 8.927 Å, c = 8.144 Å
α = 90.00°, β = 90.00°, γ = 90.00°
Space group I4_1/amd (No. 141, origin choice 2)
Inequivalent atoms, fractional coordinates:
1 Eu 0.000 0.057 0.198
2 Ir 0.000 0.250 0.875

Record 5
A plane-wave DFT calculation with PBEsol was carried out for a geometry-optimized LiEu2IrO6 structure.

Values from the calculation:
**M_tot**: 1.039 μB/atom
**Crystal system**: monoclinic
**E_form (uncorrected)**: -2.088 eV per atom

a = 5.338 Å, b = 5.736 Å, c = 9.219 Å
α = 90.00°, β = 124.66°, γ = 90.00°
Space group P2_1/c (No. 14)
Inequivalent atoms, fractional coordinates:
1 Li 0.000 0.000 0.000
2 Eu 0.230 0.074 0.749
3 Ir 0.500 0.000 0.500
4 O 0.152 0.185 0.453
5 O 0.269 0.711 0.447
6 O 0.350 0.030 0.253

Record 6
A plane-wave DFT calculation with PBEsol was carried out for a geometry-optimized Eu2Si4IrPd3 structure.

Values from the calculation:
**M_tot**: 1.387 μB/atom
**Crystal system**: tetragonal
**E_form (uncorrected)**: -0.904 eV per atom

a = 4.109 Å, b = 4.109 Å, c = 10.103 Å
α = 90.00°, β = 90.00°, γ = 90.00°
Space group P-4m2 (No. 115)
Inequivalent atoms, fractional coordinates:
1 Eu 0.000 0.500 0.250
2 Si 0.000 0.500 0.629
3 Si 0.000 0.500 0.869
4 Ir 0.000 0.000 0.500
5 Pd 0.000 0.000 0.000
6 Pd 0.500 0.500 0.000
7 Pd 0.500 0.500 0.500